A plane-wave DFT calculation with PBE was carried out for a relaxed Pr4HoGa2 crystal.

a b c (Å): 6.8615 6.8857 10.1746
angles (deg): 96.70 96.76 115.35
Last column: nearest neighbours and their distance in Å.
Fractional positions:
Pr  0.0000  0.0000  0.0000  4 Ga 3.14-3.16, 3 Pr 3.37-3.41
Pr  0.0023  0.0073  0.4646  2 Ga 3.19-3.51, 2 Ho 3.31-3.32, 3 Pr 3.48-3.49
Pr  0.1177  0.7325  0.7072  2 Ga 2.97-3.28
Pr  0.1258  0.5426  0.0526  3 Ga 3.05-3.35, 1 Pr 3.40
Pr  0.5211  0.5246  0.5714  4 Ga 3.12-3.26
Pr  0.5436  0.1281  0.0543  3 Ga 3.05-3.36, 2 Pr 3.40-3.41
Pr  0.6553  0.6571  0.1714  3 Ga 3.05-3.27, 2 Pr 3.37-3.40
Pr  0.7299  0.1212  0.7077  2 Ga 2.96-3.28
Ho  0.4210  0.9495  0.3657  1 Ga 3.08, 1 Pr 3.32
Ho  0.9472  0.4263  0.3668  1 Ga 3.08, 1 Pr 3.31
Ga  0.2679  0.2703  0.7971  2 Ga 2.76-2.78
Ga  0.2949  0.2978  0.2738  6 Pr 3.05-3.36, 2 Ho 3.08
Ga  0.5002  0.7227  0.8704  2 Ga 2.56-2.78
Ga  0.7185  0.5006  0.8709  2 Ga 2.56-2.76

- Calculated volume: 423.9 Å³ per cell
- Formation enthalpy at 0 K: -219 meV/atom
- Magnetic moment: 0.00 μB/f.u.